Ti4RhS8 | PBE | relaxed

Symmetry: R-3m
Uncorrected formation energy in kJ/mol of atoms: -106.8
Size of the total moment in μB per formula unit: 0.01
DFT total energy in eV/atom: -6.64

Cell and atoms, written as POSCAR:
```
Ti4RhS8
1.0
3.4115 1.9696 5.9918
-3.4115 1.9696 5.9918
0.0000 -3.9393 5.9918
Ti Rh S
4 1 8
Cartesian
0.0000 0.0000 0.0000
-1.7058 -0.9848 5.9918
-1.7057 0.9848 11.9837
0.0000 1.9696 5.9918
0.0000 0.0000 8.9878
0.0000 -1.9477 7.4464
-1.6868 0.9739 7.4464
0.0000 0.0000 4.5696
-1.6868 -0.9739 10.5291
1.6868 0.9739 7.4464
0.0000 0.0000 13.4059
1.6868 -0.9739 10.5291
0.0000 1.9477 10.5291
```